No. 1
Here is Pm6Dy2Ho3Tm after structural relaxation from the Alexandria database. Energies are from PBE.

```
Pm6Dy2Ho3Tm
1.0
3.114 -5.392 0.000
3.114 5.392 0.000
-2.068 0.000 11.612
Pm Dy Ho Tm
6 2 3 1
direct
0.084 0.417 0.750
0.249 0.249 0.250
0.417 0.084 0.750
0.583 0.916 0.250
0.751 0.751 0.750
0.916 0.583 0.250
0.333 0.667 0.500
0.667 0.333 0.500
0.167 0.833 0.000
0.500 0.500 0.000
0.833 0.167 0.000
0.000 0.000 0.500
```

Values from the calculation:
- Formation enthalpy at 0 K: 0.2 eV/f.u.
- ρ: 7.9 g cm⁻³
- Space group: C2/m, No. 12

***

No. 2
Here is Ba2Ca3Ga2 after structural relaxation from the Alexandria database. Energies are from PBE.

```
Ba2Ca3Ga2
1.0
6.023 -2.592 0.000
6.023 2.592 0.000
-3.119 0.000 8.380
Ba Ca Ga
2 3 2
direct
0.138 0.138 0.297
0.862 0.862 0.703
0.360 0.360 0.067
0.500 0.500 0.500
0.640 0.640 0.933
0.156 0.156 0.717
0.844 0.844 0.283
```

Values from the calculation:
- Formation enthalpy at 0 K: -1.6 eV/f.u.
- ρ: 3.4 g cm⁻³
- Space group: C2/m, No. 12

***

No. 3
Here is UAs6Pd12 after structural relaxation from the Alexandria database. Energies are from PBE.

```
UAs6Pd12
1.0
5.854 3.380 2.867
-5.854 3.380 2.867
0.000 -6.760 2.867
U As Pd
1 6 12
direct
0.000 0.000 0.000
0.253 0.253 0.667
0.253 0.667 0.253
0.333 0.747 0.747
0.667 0.253 0.253
0.747 0.333 0.747
0.747 0.747 0.333
0.127 0.500 0.873
0.127 0.873 0.500
0.128 0.368 0.368
0.368 0.128 0.368
0.368 0.368 0.128
0.500 0.127 0.873
0.500 0.873 0.127
0.632 0.632 0.872
0.632 0.872 0.632
0.872 0.632 0.632
0.873 0.127 0.500
0.873 0.500 0.127
```

Values from the calculation:
- Formation enthalpy at 0 K: -4.9 eV/f.u.
- ρ: 9.6 g cm⁻³
- Space group: R-3m, No. 166

***

No. 4
Here is Ba3OsO6 after structural relaxation from the Alexandria database. Energies are from PBE.

```
Ba3OsO6
1.0
5.191 -6.504 0.000
5.191 6.504 0.000
0.000 0.000 6.452
Ba Os O
6 2 12
direct
0.092 0.908 0.500
0.190 0.388 0.510
0.388 0.190 0.010
0.612 0.810 0.510
0.810 0.612 0.010
0.908 0.092 0.000
0.323 0.677 0.993
0.677 0.323 0.493
0.124 0.550 0.935
0.157 0.163 0.256
0.163 0.157 0.756
0.288 0.712 0.264
0.436 0.564 0.828
0.450 0.876 0.935
0.550 0.124 0.435
0.564 0.436 0.328
0.712 0.288 0.764
0.837 0.843 0.256
0.843 0.837 0.756
0.876 0.450 0.435
```

Values from the calculation:
- DFT total energy: -6.672 eV/atom
- ρ: 5.3 g cm⁻³
- Space group: Cmc2_1, No. 36